The following is a PBE-GGA calculation of ReIrI2 after structural relaxation, from the Alexandria database.

Output
- calculated volume (Å³/cell) = 426
- offset from the most stable computed form (eV/f.u.) = 0.000
- magnetization (μB per formula unit) = 0.0
- mass density (g/cm³) = 9.9
- space-group type = I-42d
- final energy (eV per atom) = -4.7092
- energy relative to the elements, uncorrected (eV/atom) = 1.39

Unit cell a=5.953 b=5.953 c=12.022 alpha=90.00 beta=90.00 gamma=90.00
Element x y z (fractional)
Re1 0.000 0.000 0.000
Re2 0.000 0.500 0.250
Re3 0.500 0.000 0.750
Re4 0.500 0.500 0.500
Ir1 0.000 0.000 0.500
Ir2 0.000 0.500 0.750
Ir3 0.500 0.000 0.250
Ir4 0.500 0.500 0.000
I1 0.249 0.250 0.125
I2 0.250 0.749 0.375
I3 0.250 0.751 0.875
I4 0.251 0.250 0.625
I5 0.749 0.750 0.625
I6 0.750 0.249 0.875
I7 0.750 0.251 0.375
I8 0.751 0.750 0.125

***

The following is a PBE-GGA calculation of Cs2TiAuO4 after structural relaxation, from the Alexandria database.

Output
- calculated volume (Å³/cell) = 392
- magnetization (μB per formula unit) = 1.1
- mass density (g/cm³) = 4.9
- space-group type = Fddd
- final energy (eV per atom) = -5.6887
- energy relative to the elements, uncorrected (eV/atom) = -1.60

Unit cell a=12.733 b=11.328 c=7.012 alpha=84.44 beta=62.32 gamma=33.24
Element x y z (fractional)
Cs1 0.051 0.051 0.699
Cs2 0.301 0.301 0.949
Cs3 0.699 0.699 0.051
Cs4 0.949 0.949 0.301
Ti1 0.125 0.125 0.125
Ti2 0.875 0.875 0.875
Au1 0.375 0.375 0.375
Au2 0.625 0.625 0.625
O1 0.063 0.280 0.356
O2 0.200 0.644 0.720
O3 0.280 0.063 0.800
O4 0.356 0.800 0.063
O5 0.644 0.200 0.937
O6 0.720 0.937 0.200
O7 0.800 0.356 0.280
O8 0.937 0.720 0.644

***

The following is a PBE-GGA calculation of Rb2Tl2Pb after structural relaxation, from the Alexandria database.

Output
- calculated volume (Å³/cell) = 473
- offset from the most stable computed form (eV/f.u.) = 0.371
- magnetization (μB per formula unit) = 0.0
- mass density (g/cm³) = 5.5
- space-group type = Cmcm
- final energy (eV per atom) = -2.1069
- ΔH_f (0 K) (eV/f.u.) = -0.16

Unit cell a=7.258 b=7.258 c=9.300 alpha=90.00 beta=90.00 gamma=74.92
Element x y z (fractional)
Rb1 0.195 0.195 0.000
Rb2 0.195 0.195 0.500
Rb3 0.805 0.805 0.000
Rb4 0.805 0.805 0.500
Tl1 0.332 0.668 0.589
Tl2 0.332 0.668 0.911
Tl3 0.668 0.332 0.089
Tl4 0.668 0.332 0.411
Pb1 0.323 0.677 0.250
Pb2 0.677 0.323 0.750

***

The following is a PBE-GGA calculation of TaIr3N after structural relaxation, from the Alexandria database.

Output
- calculated volume (Å³/cell) = 112
- offset from the most stable computed form (eV/f.u.) = 11.435
- magnetization (μB per formula unit) = 3.5
- mass density (g/cm³) = 11.4
- space-group type = Pm-3m
- final energy (eV per atom) = -6.6371
- energy relative to the elements, uncorrected (eV/atom) = 2.72

Unit cell a=4.825 b=4.825 c=4.825 alpha=90.00 beta=90.00 gamma=90.00
Element x y z (fractional)
Ta1 0.000 0.000 0.000
Ir1 0.000 0.000 0.500
Ir2 0.000 0.500 0.000
Ir3 0.500 0.000 0.000
N1 0.500 0.500 0.500

***

- calculated volume of number 4 (TaIr3N)?
  112 Å³/cell